(1)
# MnInTe3 (PBE, optimized geometry)
# E above lowest polymorph   0.074 eV/atom
# Formation energy from raw total energies   -94 meV/atom
# Calculated volume   28.9 A^3/atom
# Energy   -4.36 eV/atom
data_MnInTe3
_space_group_name_H-M_alt 'C m c m'
_space_group_IT_number 63
_space_group_name_Hall '-C 2c 2'
_cell_length_a 3.9126
_cell_length_b 13.9110
_cell_length_c 10.6332
_cell_angle_alpha 90.00
_cell_angle_beta 90.00
_cell_angle_gamma 90.00
loop_
_atom_site_label
_atom_site_fract_x
_atom_site_fract_y
_atom_site_fract_z
Mn1 0.0000 0.0000 0.0000
In1 0.0000 0.2516 0.2500
Te1 0.0000 0.0418 0.2500
Te2 0.0000 0.3651 0.0161

=====

(2)
# MnInTe2 (PBE, optimized geometry)
# Formation energy from raw total energies   205 meV/atom
# Calculated volume   23.9 A^3/atom
# Energy   -4.34 eV/atom
data_MnInTe2
_space_group_name_H-M_alt 'P 4 m m'
_space_group_IT_number 99
_cell_length_a 3.1326
_cell_length_b 3.1326
_cell_length_c 9.7533
_cell_angle_alpha 90.00
_cell_angle_beta 90.00
_cell_angle_gamma 90.00
loop_
_space_group_symop_operation_xyz
'x,y,z'
'-y,x,z'
'-x,-y,z'
'y,-x,z'
'-x,y,z'
'y,x,z'
'x,-y,z'
'-y,-x,z'
loop_
_atom_site_label
_atom_site_fract_x
_atom_site_fract_y
_atom_site_fract_z
Mn1 0.0000 0.0000 0.0000
In1 0.5000 0.5000 0.8172
Te1 0.0000 0.0000 0.5137
Te2 0.5000 0.5000 0.1478

=====

(3)
# MnInTe (PBE, optimized geometry)
# E above lowest polymorph   0.000 eV/atom
# Formation energy from raw total energies   74 meV/atom
# Calculated volume   24.5 A^3/atom
# Energy   -4.94 eV/atom
data_MnInTe
_space_group_name_H-M_alt 'C 1 2/m 1'
_space_group_IT_number 12
_cell_length_a 8.3523
_cell_length_b 3.5477
_cell_length_c 10.5084
_cell_angle_alpha 90.00
_cell_angle_beta 109.50
_cell_angle_gamma 90.00
loop_
_space_group_symop_operation_xyz
'x,y,z'
'-x,-y,-z'
'-x,y,-z'
'x,-y,z'
'x+1/2,y+1/2,z'
'-x+1/2,-y+1/2,-z'
'-x+1/2,y+1/2,-z'
'x+1/2,-y+1/2,z'
loop_
_atom_site_label
_atom_site_fract_x
_atom_site_fract_y
_atom_site_fract_z
Mn1 0.1656 0.0000 0.0559
In1 0.1847 0.5000 0.6056
Te1 0.0018 0.5000 0.8383